Record 1
## Na8Tl2Zn (PBE)

Data for a relaxed structure of Na8Tl2Zn.

Calculated values
Energy above the most stable polymorph in this dataset = 0.85 eV/f.u.

Cell: 8.3325 8.3325 5.8636 Å, 103.53 103.53 80.49°
Atoms (fractional coordinates):
Na (0.1526, 0.6814, 0.6987)
Na (0.2528, 0.2528, 0.5756)
Na (0.3186, 0.8474, 0.3013)
Na (0.4010, 0.4010, 0.1807)
Na (0.5990, 0.5990, 0.8193)
Na (0.6814, 0.1526, 0.6987)
Na (0.7472, 0.7472, 0.4244)
Na (0.8474, 0.3186, 0.3013)
Tl (0.1283, 0.1283, 0.9794)
Tl (0.8717, 0.8717, 0.0206)
Zn (0.0000, 0.0000, 0.5000)



Record 2
## Sc4IrOs (PBE)

Data for a relaxed structure of Sc4IrOs.

Calculated values
Energy above the most stable polymorph in this dataset = 0.39 eV/f.u.

Cell: 4.5002 4.5002 6.3683 Å, 90.00 90.00 90.00°
Atoms (fractional coordinates):
Sc (0.0000, 0.5000, 0.2473)
Sc (0.0000, 0.5000, 0.7527)
Sc (0.5000, 0.0000, 0.2473)
Sc (0.5000, 0.0000, 0.7527)
Ir (0.0000, 0.0000, 0.5000)
Os (0.5000, 0.5000, 0.0000)



Record 3
## Ce2SbS6 (PBE)

Data for a relaxed structure of Ce2SbS6.

Calculated values
Formation energy without anion corrections = -1.075 eV/atom

Cell: 6.2259 6.2259 12.5247 Å, 90.00 90.00 90.00°
Atoms (fractional coordinates):
Ce (0.0000, 0.0000, 0.1671)
Ce (0.0000, 0.0000, 0.8329)
Ce (0.5000, 0.5000, 0.3329)
Ce (0.5000, 0.5000, 0.6671)
Sb (0.0000, 0.0000, 0.5000)
Sb (0.5000, 0.5000, 0.0000)
S (0.1899, 0.1899, 0.3406)
S (0.1899, 0.1899, 0.6594)
S (0.1981, 0.1981, 0.0000)
S (0.3019, 0.6981, 0.5000)
S (0.3101, 0.6899, 0.1594)
S (0.3101, 0.6899, 0.8406)
S (0.6899, 0.3101, 0.1594)
S (0.6899, 0.3101, 0.8406)
S (0.6981, 0.3019, 0.5000)
S (0.8019, 0.8019, 0.0000)
S (0.8101, 0.8101, 0.3406)
S (0.8101, 0.8101, 0.6594)



Copy entry 3 word for word.
## Ce2SbS6 (PBE)

Data for a relaxed structure of Ce2SbS6.

Calculated values
Formation energy without anion corrections = -1.075 eV/atom

Cell: 6.2259 6.2259 12.5247 Å, 90.00 90.00 90.00°
Atoms (fractional coordinates):
Ce (0.0000, 0.0000, 0.1671)
Ce (0.0000, 0.0000, 0.8329)
Ce (0.5000, 0.5000, 0.3329)
Ce (0.5000, 0.5000, 0.6671)
Sb (0.0000, 0.0000, 0.5000)
Sb (0.5000, 0.5000, 0.0000)
S (0.1899, 0.1899, 0.3406)
S (0.1899, 0.1899, 0.6594)
S (0.1981, 0.1981, 0.0000)
S (0.3019, 0.6981, 0.5000)
S (0.3101, 0.6899, 0.1594)
S (0.3101, 0.6899, 0.8406)
S (0.6899, 0.3101, 0.1594)
S (0.6899, 0.3101, 0.8406)
S (0.6981, 0.3019, 0.5000)
S (0.8019, 0.8019, 0.0000)
S (0.8101, 0.8101, 0.3406)
S (0.8101, 0.8101, 0.6594)



What did the second record say?
## Sc4IrOs (PBE)

Data for a relaxed structure of Sc4IrOs.

Calculated values
Energy above the most stable polymorph in this dataset = 0.39 eV/f.u.

Cell: 4.5002 4.5002 6.3683 Å, 90.00 90.00 90.00°
Atoms (fractional coordinates):
Sc (0.0000, 0.5000, 0.2473)
Sc (0.0000, 0.5000, 0.7527)
Sc (0.5000, 0.0000, 0.2473)
Sc (0.5000, 0.0000, 0.7527)
Ir (0.0000, 0.0000, 0.5000)
Os (0.5000, 0.5000, 0.0000)